Here is a crystal of Dy3Si2Ni6 relaxed with PBEsol from Alexandria. Energies are from SCAN.

Lattice parameters (Å, degrees): 8.6379 8.6379 8.6379 90.00 90.00 90.00
Closest atoms and distances in Å follow each position.
Space group Im-3m (No. 229)
Symmetry-distinct sites (fractional):
Dy 0.0000 0.0000 0.2855 x12  8 Ni 2.77-2.89, 4 Si 3.07
Si 0.2500 0.2500 0.2500 x8  6 Ni 2.38
Ni 0.0000 0.3315 0.3315 x24  2 Si 2.38, 4 Ni 2.49

## Properties
Uncorrected formation energy   -678 meV/atom